! Ni4Pt3 | Alexandria via LeMat-Bulk | PBE | relaxed; values from VASP
! Theoretical density = 14.832 Mg/m³
! Excess energy over the best structure of this formula in the dataset = 51 meV per atom
! Total magnetic moment = 3.8 μB per formula unit
! Energy of formation from the pure elements = -0.043 eV/atom
&SYSTEM
  ibrav = 0, nat = 7, ntyp = 2
/
ATOMIC_SPECIES
Ni 58.69 Ni.upf
Pt 195.08 Pt.upf
ATOMIC_POSITIONS crystal
Ni 0.865 0.865 0.000
Ni 0.573 0.573 0.000
Ni 0.427 0.427 0.000
Ni 0.135 0.135 0.000
Pt 0.000 0.000 0.000
Pt 0.708 0.708 0.000
Pt 0.292 0.292 0.000
CELL_PARAMETERS angstrom
7.254 -2.779 9.946
7.183 1.038 10.325
-8.782 0.732 -9.034


! Ni7Pt5 | Alexandria via LeMat-Bulk | PBE | relaxed; values from VASP
! Theoretical density = 14.611 Mg/m³
! Excess energy over the best structure of this formula in the dataset = 0 meV per atom
! Total magnetic moment = 6.6 μB per formula unit
! Energy of formation from the pure elements = -0.068 eV/atom
&SYSTEM
  ibrav = 0, nat = 12, ntyp = 2
/
ATOMIC_SPECIES
Ni 58.69 Ni.upf
Pt 195.08 Pt.upf
ATOMIC_POSITIONS crystal
Ni 0.000 0.998 0.000
Ni 0.500 0.168 0.000
Ni 0.000 0.330 0.000
Ni 0.500 0.500 0.000
Ni 0.000 0.671 0.000
Ni 0.500 0.000 0.500
Ni 0.000 0.833 0.500
Pt 0.500 0.845 0.000
Pt 0.000 0.153 0.500
Pt 0.500 0.327 0.500
Pt 0.000 0.502 0.500
Pt 0.500 0.673 0.500
CELL_PARAMETERS angstrom
-3.474 -2.612 -1.597
4.391 -6.516 1.108
-0.367 0.522 4.525